# Ni5P6O22, relaxed, DFT PBE with a Hubbard U
data_Ni5P6O22
_chemical_formula_sum 'Ni10 P12 O44'
_cell_length_a 6.634
_cell_length_b 10.416
_cell_length_c 12.697
_cell_angle_alpha 105.07
_cell_angle_beta 90.00
_cell_angle_gamma 90.00
_symmetry_space_group_name_H-M 'P 1'
_symmetry_Int_Tables_number 1
_symmetry_space_group_name_Hall 'P 1'
loop_
_atom_site_label
_atom_site_type_symbol
_atom_site_fract_x
_atom_site_fract_y
_atom_site_fract_z
Ni1 Ni 0.250 0.211 0.865
Ni2 Ni 0.250 0.711 0.865
Ni3 Ni 0.009 0.198 0.675
Ni4 Ni 0.491 0.698 0.675
Ni5 Ni 0.509 0.302 0.325
Ni6 Ni 0.991 0.802 0.325
Ni7 Ni 0.750 0.289 0.135
Ni8 Ni 0.000 0.000 0.000
Ni9 Ni 0.750 0.789 0.135
Ni10 Ni 0.500 0.500 0.000
P1 P 0.606 0.575 0.252
P2 P 0.894 0.075 0.252
P3 P 0.296 0.591 0.417
P4 P 0.796 0.909 0.583
P5 P 0.204 0.091 0.417
P6 P 0.240 0.274 0.085
P7 P 0.704 0.409 0.583
P8 P 0.106 0.925 0.748
P9 P 0.394 0.425 0.748
P10 P 0.760 0.726 0.915
P11 P 0.260 0.774 0.085
P12 P 0.740 0.226 0.915
O1 O 0.552 0.175 0.851
O2 O 0.211 0.137 0.993
O3 O 0.286 0.357 0.998
O4 O 0.289 0.637 0.993
O5 O 0.214 0.857 0.998
O6 O 0.922 0.234 0.843
O7 O 0.547 0.446 0.840
O8 O 0.196 0.058 0.736
O9 O 0.948 0.675 0.851
O10 O 0.578 0.734 0.843
O11 O 0.789 0.863 0.007
O12 O 0.714 0.643 0.002
O13 O 0.711 0.363 0.007
O14 O 0.786 0.143 0.002
O15 O 0.448 0.825 0.149
O16 O 0.078 0.766 0.157
O17 O 0.819 0.861 0.460
O18 O 0.804 0.942 0.264
O19 O 0.052 0.325 0.149
O20 O 0.422 0.266 0.157
O21 O 0.768 0.677 0.241
O22 O 0.047 0.054 0.160
O23 O 0.696 0.442 0.264
O24 O 0.207 0.939 0.382
O25 O 0.732 0.177 0.241
O26 O 0.497 0.641 0.365
O27 O 0.115 0.653 0.377
O28 O 0.232 0.323 0.759
O29 O 0.293 0.439 0.382
O30 O 0.003 0.141 0.365
O31 O 0.385 0.153 0.377
O32 O 0.681 0.361 0.460
O33 O 0.319 0.639 0.540
O34 O 0.615 0.847 0.623
O35 O 0.997 0.859 0.635
O36 O 0.707 0.561 0.618
O37 O 0.181 0.139 0.540
O38 O 0.885 0.347 0.623
O39 O 0.503 0.359 0.635
O40 O 0.268 0.823 0.759
O41 O 0.793 0.061 0.618
O42 O 0.304 0.558 0.736
O43 O 0.953 0.946 0.840
O44 O 0.453 0.554 0.160
# - Space group: P2_1/c, No. 14
# - Final energy: -6.351 eV/atom